Entry from Alexandria via LeMat-Bulk: a geometry-optimized LiYNF2 structure (PBE-GGA).

a b c (Å): 3.5931 3.5931 4.2374
angles (deg): 90.00 90.00 90.00
Closest atoms and distances in Å follow each position.
Fractional positions:
Li (0.0000, 0.0000, 0.0000)  4 F 1.80
Y (0.5000, 0.5000, 0.5000)  4 N 2.54, 8 F 2.78
N (0.0000, 0.0000, 0.5000)  2 Li 2.12
F (0.0000, 0.5000, 0.0000)  2 Li 1.80
F (0.5000, 0.0000, 0.0000)  2 Li 1.80

Output
Its uncorrected formation energy is -2.081 eV per atom. Its total magnetization is 1.0 μB/f.u.



Entry from Alexandria via LeMat-Bulk: a geometry-optimized GdPaHgRu structure (PBE-GGA).

a b c (Å): 5.0659 5.0659 5.0659
angles (deg): 60.00 60.00 60.00
Closest atoms and distances in Å follow each position.
Fractional positions:
Gd (0.0000, 0.0000, 0.0000)  4 Hg 3.10, 4 Ru 3.10
Pa (0.5000, 0.5000, 0.5000)  4 Ru 3.10, 4 Hg 3.10
Hg (0.2500, 0.2500, 0.2500)  4 Pa 3.10, 4 Gd 3.10
Ru (0.7500, 0.7500, 0.7500)  4 Gd 3.10, 4 Pa 3.10

Output
Its total magnetization is 7.7 μB/f.u. For the total DFT energy (no corrections), the calculation gives -33.540 eV/cell.



Entry from Alexandria via LeMat-Bulk: a geometry-optimized Cs2TiAgI6 structure (PBE-GGA).

a b c (Å): 14.7715 14.7715 14.7715
angles (deg): 32.79 32.79 32.79
Closest atoms and distances in Å follow each position.
Fractional positions:
Cs (0.1188, 0.1188, 0.1188)  9 I 4.06-4.17
Cs (0.2949, 0.2949, 0.2949)  12 I 4.11-4.24
Cs (0.7051, 0.7051, 0.7051)  12 I 4.11-4.24
Cs (0.8812, 0.8812, 0.8812)  9 I 4.06-4.17
Ti (0.4167, 0.4167, 0.4167)  6 I 2.82-2.88
Ti (0.5833, 0.5833, 0.5833)  6 I 2.82-2.88
Ag (0.0000, 0.0000, 0.0000)  6 I 3.07
Ag (0.5000, 0.5000, 0.5000)  6 I 3.04
I (0.1288, 0.6167, 0.6167)  1 Ti 2.82, 1 Ag 3.04
I (0.2154, 0.2154, 0.6967)  1 Ti 2.88, 1 Ag 3.07
I (0.2154, 0.6967, 0.2154)  1 Ti 2.88, 1 Ag 3.07
I (0.3033, 0.7846, 0.7846)  1 Ti 2.88, 1 Ag 3.07
I (0.3833, 0.3833, 0.8712)  1 Ti 2.82, 1 Ag 3.04
I (0.3833, 0.8712, 0.3833)  1 Ti 2.82, 1 Ag 3.04
I (0.6167, 0.1288, 0.6167)  1 Ti 2.82, 1 Ag 3.04
I (0.6167, 0.6167, 0.1288)  1 Ti 2.82, 1 Ag 3.04
I (0.6967, 0.2154, 0.2154)  1 Ti 2.88, 1 Ag 3.07
I (0.7846, 0.3033, 0.7846)  1 Ti 2.88, 1 Ag 3.07
I (0.7846, 0.7846, 0.3033)  1 Ti 2.88, 1 Ag 3.07
I (0.8712, 0.3833, 0.3833)  1 Ti 2.82, 1 Ag 3.04

Output
Its uncorrected formation energy is -0.954 eV per atom. Its total magnetization is 1.0 μB/f.u.



Entry from Alexandria via LeMat-Bulk: a geometry-optimized Sr2VSn2 structure (PBE-GGA).

a b c (Å): 7.7064 7.7064 5.1203
angles (deg): 90.00 90.00 90.00
Closest atoms and distances in Å follow each position.
Fractional positions:
Sr (0.1694, 0.3306, 0.0000)  6 Sn 3.30-3.50, 1 Sr 3.69
Sr (0.3306, 0.8306, 0.0000)  6 Sn 3.30-3.50, 1 Sr 3.69
Sr (0.6694, 0.1694, 0.0000)  6 Sn 3.30-3.50, 1 Sr 3.69
Sr (0.8306, 0.6694, 0.0000)  6 Sn 3.30-3.50, 1 Sr 3.69
V (0.0000, 0.0000, 0.5000)  4 Sn 2.98
V (0.5000, 0.5000, 0.5000)  4 Sn 2.98
Sn (0.1395, 0.6395, 0.5000)  2 V 2.98, 1 Sn 3.04, 2 Sr 3.30
Sn (0.3605, 0.1395, 0.5000)  2 V 2.98, 1 Sn 3.04, 2 Sr 3.30
Sn (0.6395, 0.8605, 0.5000)  2 V 2.98, 1 Sn 3.04, 2 Sr 3.30
Sn (0.8605, 0.3605, 0.5000)  2 V 2.98, 1 Sn 3.04, 2 Sr 3.30

Output
Its total magnetization is 3.0 μB/f.u. For the total DFT energy (no corrections), the calculation gives -43.068 eV/cell.



Entry from Alexandria via LeMat-Bulk: a geometry-optimized CoSN structure (PBE-GGA).

a b c (Å): 3.1193 3.1193 11.3179
angles (deg): 95.70 95.70 90.00
Closest atoms and distances in Å follow each position.
Fractional positions:
Co (0.2268, 0.2268, 0.4355)  5 S 2.16-2.32
Co (0.7732, 0.7732, 0.5645)  5 S 2.16-2.32
S (0.2963, 0.2963, 0.6287)  5 Co 2.16-2.32
S (0.7037, 0.7037, 0.3713)  5 Co 2.16-2.32
N (0.0197, 0.0197, 0.0497)  1 N 1.11
N (0.9803, 0.9803, 0.9503)  1 N 1.11

Output
Its uncorrected formation energy is -0.161 eV per atom. Its total magnetization is 0.0 μB/f.u.



Entry from Alexandria via LeMat-Bulk: a geometry-optimized ZrRh structure (PBE-GGA).

a b c (Å): 5.1902 5.3720 10.6331
angles (deg): 90.00 90.00 90.00
Closest atoms and distances in Å follow each position.
Fractional positions:
Zr (0.1478, 0.0782, 0.0176)  6 Rh 2.71-2.93
Zr (0.1559, 0.6245, 0.8013)  6 Rh 2.67-2.99
Zr (0.3441, 0.3755, 0.3013)  6 Rh 2.67-2.99
Zr (0.3522, 0.9218, 0.5176)  6 Rh 2.71-2.93
Zr (0.6478, 0.4218, 0.9824)  6 Rh 2.71-2.93
Zr (0.6559, 0.8755, 0.1987)  6 Rh 2.67-2.99
Zr (0.8441, 0.1245, 0.6987)  6 Rh 2.67-2.99
Zr (0.8522, 0.5782, 0.4824)  6 Rh 2.71-2.93
Rh (0.1609, 0.8815, 0.2680)  6 Zr 2.67-2.90, 2 Rh 2.76-2.79
Rh (0.1682, 0.5801, 0.0540)  6 Zr 2.70-2.99, 2 Rh 2.76-2.79
Rh (0.3318, 0.4199, 0.5540)  6 Zr 2.70-2.99, 2 Rh 2.76-2.79
Rh (0.3391, 0.1185, 0.7680)  6 Zr 2.67-2.90, 2 Rh 2.76-2.79
Rh (0.6609, 0.6185, 0.7320)  6 Zr 2.67-2.90, 2 Rh 2.76-2.79
Rh (0.6682, 0.9199, 0.9460)  6 Zr 2.70-2.99, 2 Rh 2.76-2.79
Rh (0.8318, 0.0801, 0.4460)  6 Zr 2.70-2.99, 2 Rh 2.76-2.79
Rh (0.8391, 0.3815, 0.2320)  6 Zr 2.67-2.90, 2 Rh 2.76-2.79

Output
Its total magnetization is 0.0 μB/f.u. For the total DFT energy (no corrections), the calculation gives -138.892 eV/cell.



Entry from Alexandria via LeMat-Bulk: a geometry-optimized Ba2TlRe structure (PBE-GGA).

a b c (Å): 6.7111 6.7111 6.7111
angles (deg): 145.71 129.42 62.54
Closest atoms and distances in Å follow each position.
Fractional positions:
Ba (0.0000, 0.0000, 0.0000)  4 Re 3.52, 2 Ba 3.60, 4 Tl 3.76-3.86
Ba (0.6898, 0.1898, 0.5000)  2 Re 3.34, 2 Ba 3.60, 4 Tl 3.66
Tl (0.2886, 0.7886, 0.5000)  2 Re 2.75
Re (0.4553, 0.4553, 0.0000)  2 Tl 2.75

Output
Its total magnetization is 0.0 μB/f.u. For the total DFT energy (no corrections), the calculation gives -16.031 eV/cell.



Entry from Alexandria via LeMat-Bulk: a geometry-optimized LuPH structure (PBE-GGA).

a b c (Å): 5.2616 5.2616 5.2616
angles (deg): 146.42 146.42 48.22
Closest atoms and distances in Å follow each position.
Fractional positions:
Lu (0.0000, 0.0000, 0.0000)  4 H 2.26
P (0.2930, 0.2930, 0.0000)  5 H 2.70-3.01, 5 Lu 2.81-2.93
H (0.5741, 0.5741, 0.0000)  4 Lu 2.26

Output
Its total magnetization is 0.0 μB/f.u. For the total DFT energy (no corrections), the calculation gives -14.269 eV/cell.